Below is crystalline PaTaZnO6 at its relaxed geometry, with properties calculated at the PBE-GGA level.

Geometry as POSCAR:
```
PaTaZnO6
1.0
-4.3096 -2.0664 2.8363
4.8114 1.0012 2.5952
-2.7230 8.2433 1.8682
Pa Ta Zn O
2 2 2 12
direct
0.3333 0.6667 0.2500
0.6667 0.3333 0.7500
0.6667 0.3333 0.2500
0.3333 0.6667 0.7500
0.0000 0.0000 0.0000
0.0000 0.0000 0.5000
0.6655 0.6410 0.1319
0.9756 0.3345 0.1319
0.3345 0.9756 0.6319
0.0244 0.6655 0.8681
0.3590 0.3345 0.3681
0.9756 0.6410 0.3681
0.6410 0.9756 0.8681
0.6655 0.0244 0.3681
0.0244 0.3590 0.6319
0.3590 0.0244 0.1319
0.6410 0.6655 0.6319
0.3345 0.3590 0.8681
```

Output
* spin magnetization: 0.0 Bohr magnetons per cell
* calculated volume: 238 Å³/cell
* DFT total energy: -152.773 eV/cell
* space group: P-31c (163)
* uncorrected formation energy: -2668 meV/atom